First-principles (PBE) data for a relaxed structure of LiScHg4, as listed in Alexandria.

Cell and atoms, written as POSCAR:
```
LiScHg4
1.0
0.0000 4.1236 4.1236
4.1236 0.0000 4.1236
4.1236 4.1236 0.0000
Li Sc Hg
1 1 4
Direct
0.7500 0.7500 0.7500
0.0000 0.0000 0.0000
0.3750 0.8750 0.3750
0.8750 0.3750 0.3750
0.3750 0.3750 0.8750
0.3750 0.3750 0.3750
```

Results
DFT formation energy in eV per atom: 0.002
Energy above the lowest structure with this stoichiometry in eV/atom: 0.267
Electronic total energy in eV per atom: -1.57


First-principles (PBE) data for a relaxed structure of PrSmGaAg, as listed in Alexandria.

Cell and atoms, written as POSCAR:
```
PrSmGaAg
1.0
-0.9728 -4.6577 -2.2681
3.9818 -3.2636 -1.1308
0.6211 -4.4525 2.7521
Pr Ga Ag Sm
1 1 1 1
Direct
0.7500 0.7500 0.7500
0.0000 0.0000 0.0000
0.5000 0.5000 0.5000
0.2500 0.2500 0.2500
```

Results
DFT formation energy in eV per atom: -0.406
Electronic total energy in eV per atom: -4.25


First-principles (PBE) data for a relaxed structure of ScTlNi2, as listed in Alexandria.

Cell and atoms, written as POSCAR:
```
ScTlNi2
1.0
3.2763 0.0000 0.0000
0.0000 3.2763 0.0000
0.0000 0.0000 6.2167
Ni Sc Tl
2 1 1
Direct
0.0000 0.0000 0.0365
0.5000 0.5000 0.2303
0.0000 0.0000 0.4414
0.5000 0.5000 0.7918
```

Results
DFT formation energy in eV per atom: -0.110
Electronic total energy in eV per atom: -5.18


First-principles (PBE) data for a relaxed structure of Rb2PrDyTe4, as listed in Alexandria.

Cell and atoms, written as POSCAR:
```
Rb2PrDyTe4
1.0
4.6039 0.0000 0.0000
0.0000 7.9754 0.1385
0.0000 -2.8022 8.5198
Rb Pr Dy Te
2 1 1 4
Direct
0.5000 0.0000 0.5000
0.0000 0.5000 0.5000
0.5000 0.5000 0.0000
0.0000 0.0000 0.0000
0.5000 0.2254 0.2006
0.5000 0.7746 0.7994
0.0000 0.2569 0.7954
0.0000 0.7431 0.2046
```

Results
Formation energy from raw total energies in meV/atom: -1394.3
Electronic total energy in eV per atom: -4.38


First-principles (PBE) data for a relaxed structure of Zr3TeAu, as listed in Alexandria.

Cell and atoms, written as POSCAR:
```
Zr3TeAu
1.0
-2.4468 4.0014 2.2421
0.1506 -2.4697 4.5720
4.5842 2.2168 1.0465
Te Au Zr
1 1 3
Direct
0.5000 0.5000 0.5000
0.0000 0.0000 0.0000
0.0000 0.5000 0.0000
0.0000 0.0000 0.5000
0.5000 0.0000 0.0000
```

Results
Formation energy from raw total energies in meV/atom: 377.4
Energy above the lowest structure with this stoichiometry in eV/atom: 0.000
Electronic total energy in eV per atom: -6.04


First-principles (PBE) data for a relaxed structure of Sr2LiTlBr6, as listed in Alexandria.

Cell and atoms, written as POSCAR:
```
Sr2LiTlBr6
1.0
7.7288 -0.0003 0.0002
3.8641 6.6931 -0.0006
3.8640 2.2304 6.9615
Sr Li Tl Br
2 1 1 6
Direct
0.5185 0.5184 0.4447
0.0066 0.0066 0.9801
0.3264 0.3263 0.0209
0.8082 0.8082 0.5753
0.5841 0.2406 0.2359
0.2406 0.9394 0.2360
0.9394 0.5840 0.2360
0.3827 0.7102 0.7621
0.7102 0.1450 0.7621
0.1450 0.3827 0.7621
```

Results
Formation energy from raw total energies in meV/atom: -1720.5
Electronic total energy in eV per atom: -3.49


First-principles (PBE) data for a relaxed structure of Al2Ag, as listed in Alexandria.

Cell and atoms, written as POSCAR:
```
Al2Ag
1.0
6.9928 -0.0110 0.0000
-0.0207 5.0756 0.0000
0.0000 0.0000 5.7041
Ag Al
4 8
Direct
0.0035 0.9921 0.0046
0.6632 0.1746 0.2454
0.0035 0.4921 0.7454
0.6632 0.6746 0.5046
0.3325 0.3354 0.4965
0.6657 0.6717 0.0021
0.3325 0.8354 0.2535
0.0010 0.9950 0.5021
0.6657 0.1717 0.7479
0.3342 0.3313 0.9965
0.0010 0.4950 0.2479
0.3342 0.8313 0.7535
```

Results
DFT formation energy in eV per atom: -0.016
Electronic total energy in eV per atom: -3.46


First-principles (PBE) data for a relaxed structure of Be2SnGeOs, as listed in Alexandria.

Cell and atoms, written as POSCAR:
```
Be2SnGeOs
1.0
4.3700 0.0000 0.0000
0.0000 5.1616 0.0000
0.0000 0.0000 4.3700
Be Ge Os Sn
2 1 1 1
Direct
0.0000 0.0000 0.5000
0.5000 0.0000 0.0000
0.5000 0.5000 0.5000
0.0000 0.5000 0.0000
0.0000 0.0000 0.0000
```

Results
DFT formation energy in eV per atom: 1.596
Electronic total energy in eV per atom: -3.86


First-principles (PBE) data for a relaxed structure of LuPuAgIr, as listed in Alexandria.

Cell and atoms, written as POSCAR:
```
LuPuAgIr
1.0
-4.8032 0.8476 -0.7998
-2.9474 -3.6833 -1.4747
-3.3839 -1.8467 3.0931
Ir Lu Ag Pu
1 1 1 1
Direct
0.5000 0.5000 0.5000
0.2500 0.2500 0.2500
0.0000 0.0000 0.0000
0.7500 0.7500 0.7500
```

Results
DFT formation energy in eV per atom: -0.378
Electronic total energy in eV per atom: -8.02


First-principles (PBE) data for a relaxed structure of Li8Zn2Cu3, as listed in Alexandria.

Cell and atoms, written as POSCAR:
```
Li8Zn2Cu3
1.0
5.2521 0.0000 0.0534
0.0000 7.2262 0.0000
-2.0355 -3.6131 5.5157
Li Zn Cu
8 2 3
Direct
0.1871 0.6069 0.2137
0.8129 0.3931 0.7863
0.9233 0.1897 0.3793
0.0767 0.8104 0.6207
0.3473 0.5736 0.7527
0.3473 0.1791 0.7527
0.6527 0.8209 0.2473
0.6527 0.4264 0.2473
0.3850 0.1803 0.3606
0.6150 0.8197 0.6394
0.5000 0.0000 0.0000
0.0000 0.1694 0.0000
0.0000 0.8306 0.0000
```

Results
DFT formation energy in eV per atom: 0.022
Energy above the lowest structure with this stoichiometry in eV/atom: 0.061
Electronic total energy in eV per atom: -2.30


First-principles (PBE) data for a relaxed structure of SmDyTm2, as listed in Alexandria.

Cell and atoms, written as POSCAR:
```
SmDyTm2
1.0
6.8952 0.0000 0.0000
0.0000 6.7411 -1.5347
0.0000 -4.3194 12.2189
Sm Dy Tm
4 4 8
Direct
0.3746 0.0127 0.3868
0.6254 0.9873 0.6132
0.3746 0.4873 0.1132
0.6254 0.5127 0.8868
0.1242 0.4890 0.6135
0.8758 0.5110 0.3865
0.1242 0.0110 0.8865
0.8758 0.9890 0.1135
0.6254 0.0125 0.8883
0.3746 0.9875 0.1117
0.6254 0.4875 0.6117
0.3746 0.5125 0.3883
0.8758 0.4872 0.1119
0.1242 0.5128 0.8881
0.8758 0.0128 0.3881
0.1242 0.9872 0.6119
```

Results
DFT formation energy in eV per atom: 0.212
Energy above the lowest structure with this stoichiometry in eV/atom: 0.198
Electronic total energy in eV per atom: -4.35


First-principles (PBE) data for a relaxed structure of Be2TlSeN, as listed in Alexandria.

Cell and atoms, written as POSCAR:
```
Be2TlSeN
1.0
-2.2299 2.9088 -0.0247
-7.4150 -5.6723 1.4066
0.4185 0.3516 3.6243
Be Tl Se N
2 1 1 1
Direct
0.0000 0.0000 0.5000
0.5000 0.0000 0.0000
0.5000 0.5000 0.5000
0.0000 0.5000 0.0000
0.0000 0.0000 0.0000
```

Results
Formation energy from raw total energies in meV/atom: 338.5
Electronic total energy in eV per atom: -3.99